A relaxed structure of Ba2LiLa, computed with GGA-PBE.

The structure in POSCAR format:
```
Ba2LiLa
1.0
9.0053 0.0000 0.0000
0.0000 9.4844 0.0000
0.0000 0.0000 4.2300
Ba Li La
4 2 2
Direct
0.2500 0.2500 0.0000
0.2500 0.7500 0.0000
0.7500 0.2500 0.0000
0.7500 0.7500 0.0000
0.0000 0.0000 0.5000
0.5000 0.5000 0.5000
0.0000 0.5000 0.5000
0.5000 0.0000 0.5000
```

Computed properties:
Excess energy over the best structure of this formula in the dataset: 61 meV/atom
Crystal system: orthorhombic
Formation energy from the elements: 0.190 eV/atom
V: 361.3 Å³ per cell